Compound: SmDyCu2B2C2
Source: OQMD via LeMat-Bulk
Functional: PBE
Structure: relaxed

Results
Electronic total energy = -50.987 eV per cell
Magnetization = 0.005 μB per formula unit

Cell: 3.6376 3.6376 7.8499 Å, 90.00 90.00 90.00°
Closest atoms and distances in Å follow each position.
Space group P4mm (No. 99)
Inequivalent atoms, fractional coordinates:
Sm 0.0000 0.0000 0.0000 (multiplicity 1)  5 C 2.47-2.58
Dy 0.5000 0.5000 0.6708 (multiplicity 1)  5 C 2.42-2.57
Cu 0.0000 0.5000 0.3348 (multiplicity 2)  4 B 2.23-2.25
B 0.0000 0.0000 0.4999 (multiplicity 1)  1 C 1.45
B 0.5000 0.5000 0.1651 (multiplicity 1)  1 C 1.46
C 0.0000 0.0000 0.6853 (multiplicity 1)  1 B 1.45
C 0.5000 0.5000 0.9791 (multiplicity 1)  1 B 1.46